Computed, not measured: an optimized crystal structure of Zr5Sc5Sb6 at the PBE level of DFT.

Values from the calculation:
formation energy without anion corrections: -801 meV/atom
crystal system: orthorhombic

Cell: 5.8401 8.5176 8.5176 Å, 119.94 90.00 90.00°
Atoms (fractional coordinates):
1 Zr 0.7502 0.3326 0.6652
2 Zr 0.7502 0.6652 0.3326
3 Zr 0.2498 0.6652 0.3326
4 Zr 0.2498 0.3326 0.6652
5 Zr 0.0000 0.2603 0.2603
6 Sc 0.0000 0.7453 0.0012
7 Sc 0.0000 0.0012 0.7453
8 Sc 0.5000 0.7429 0.7429
9 Sc 0.5000 0.2540 0.9998
10 Sc 0.5000 0.9998 0.2540
11 Sb 0.0000 0.6191 0.6191
12 Sb 0.0000 0.3836 0.9983
13 Sb 0.0000 0.9983 0.3836
14 Sb 0.5000 0.3835 0.3835
15 Sb 0.5000 0.6166 0.9997
16 Sb 0.5000 0.9997 0.6166



Computed, not measured: an optimized crystal structure of TmHgBiPd at the PBE level of DFT.

Values from the calculation:
VASP energy: -15.63 eV for the cell shown
crystal system: cubic

Cell: 5.0788 5.0788 5.0788 Å, 60.00 60.00 60.00°
Atoms (fractional coordinates):
1 Tm 0.2500 0.2500 0.2500
2 Bi 0.7500 0.7500 0.7500
3 Pd 0.0000 0.0000 0.0000
4 Hg 0.5000 0.5000 0.5000



Computed, not measured: an optimized crystal structure of Tb2Tl2Cd at the PBE level of DFT.

Values from the calculation:
distance to the lowest polymorph of the same formula: 0.00 kJ per mole of atoms
crystal system: tetragonal

Cell: 4.4706 7.8412 7.8412 Å, 90.00 90.00 90.00°
Atoms (fractional coordinates):
1 Tb 0.5000 0.1684 0.6684
2 Tb 0.5000 0.6684 0.8316
3 Tb 0.5000 0.8316 0.3316
4 Tb 0.5000 0.3316 0.1684
5 Tl 0.0000 0.3638 0.8638
6 Tl 0.0000 0.8638 0.6362
7 Tl 0.0000 0.6362 0.1362
8 Tl 0.0000 0.1362 0.3638
9 Cd 0.0000 0.0000 0.0000
10 Cd 0.0000 0.5000 0.5000



Computed, not measured: an optimized crystal structure of Nd3AlIn2 at the PBE level of DFT.

Values from the calculation:
VASP energy: -26.18 eV for the cell shown
crystal system: tetragonal

Cell: 3.8151 3.8151 11.5758 Å, 90.00 90.00 90.00°
Atoms (fractional coordinates):
1 Nd 0.0000 0.0000 0.0000
2 Nd 0.0000 0.0000 0.6574
3 Nd 0.0000 0.0000 0.3426
4 Al 0.5000 0.5000 0.5000
5 In 0.5000 0.5000 0.8290
6 In 0.5000 0.5000 0.1710